# 1
This record from Alexandria describes a geometry-optimized CeAlHg structure. The functional is PBE.

CIF file:
```
data_CeAlHg
_space_group_name_H-M_alt 'P 1'
_space_group_IT_number 1
_cell_length_a 4.729
_cell_length_b 8.082
_cell_length_c 7.533
_cell_angle_alpha 90.00
_cell_angle_beta 90.00
_cell_angle_gamma 90.00
loop_
_space_group_symop_operation_xyz
'x,y,z'
loop_
_atom_site_label
_atom_site_fract_x
_atom_site_fract_y
_atom_site_fract_z
_atom_site_occupancy
Ce1 0.250 0.213 0.002 1
Al1 0.250 0.912 0.704 1
Al2 0.750 0.412 0.796 1
Al3 0.250 0.588 0.204 1
Hg1 0.750 0.416 0.199 1
Ce2 0.750 0.713 0.498 1
Al4 0.750 0.088 0.296 1
Hg2 0.750 0.084 0.699 1
Hg3 0.250 0.584 0.801 1
Ce3 0.250 0.287 0.502 1
Hg4 0.250 0.916 0.301 1
Ce4 0.750 0.787 0.998 1
```

Output
formation energy	-0.36	eV/atom
N(E_F)	21.95	states/eV per cell
raw total energy	-3.683	eV per atom

=====

# 2
This record from Alexandria describes a geometry-optimized CeAlHg structure. The functional is PBE.

CIF file:
```
data_CeAlHg
_space_group_name_H-M_alt 'P 1'
_space_group_IT_number 1
_cell_length_a 4.139
_cell_length_b 5.939
_cell_length_c 6.186
_cell_angle_alpha 101.40
_cell_angle_beta 109.54
_cell_angle_gamma 90.00
loop_
_space_group_symop_operation_xyz
'x,y,z'
loop_
_atom_site_label
_atom_site_fract_x
_atom_site_fract_y
_atom_site_fract_z
_atom_site_occupancy
Ce1 0.500 0.500 0.000 1
Hg1 0.822 0.678 0.643 1
Ce2 0.500 0.000 0.000 1
Al1 0.187 0.839 0.374 1
Al2 0.813 0.161 0.626 1
Hg2 0.178 0.322 0.357 1
```

Output
formation energy	-0.18	eV/atom
N(E_F)	10.72	states/eV per cell
raw total energy	-3.506	eV per atom

=====

# 3
This record from Alexandria describes a geometry-optimized Ce3Al2Hg4 structure. The functional is PBE.

CIF file:
```
data_Ce3Al2Hg4
_space_group_name_H-M_alt 'P 1'
_space_group_IT_number 1
_cell_length_a 4.893
_cell_length_b 6.077
_cell_length_c 9.155
_cell_angle_alpha 115.51
_cell_angle_beta 90.00
_cell_angle_gamma 113.74
loop_
_space_group_symop_operation_xyz
'x,y,z'
loop_
_atom_site_label
_atom_site_fract_x
_atom_site_fract_y
_atom_site_fract_z
_atom_site_occupancy
Hg1 0.695 0.390 0.037 1
Hg2 0.917 0.834 0.591 1
Hg3 0.083 0.166 0.409 1
Hg4 0.305 0.610 0.963 1
Al1 0.387 0.773 0.719 1
Ce1 0.338 0.676 0.331 1
Ce2 0.662 0.324 0.669 1
Ce3 0.000 0.000 0.000 1
Al2 0.613 0.227 0.281 1
```

Output
formation energy	-0.35	eV/atom
N(E_F)	17.85	states/eV per cell
raw total energy	-3.294	eV per atom

=====

# 4
This record from Alexandria describes a geometry-optimized CeAlHg structure. The functional is PBE.

CIF file:
```
data_CeAlHg
_space_group_name_H-M_alt 'P 1'
_space_group_IT_number 1
_cell_length_a 4.877
_cell_length_b 4.877
_cell_length_c 4.877
_cell_angle_alpha 60.00
_cell_angle_beta 60.00
_cell_angle_gamma 60.00
loop_
_space_group_symop_operation_xyz
'x,y,z'
loop_
_atom_site_label
_atom_site_fract_x
_atom_site_fract_y
_atom_site_fract_z
_atom_site_occupancy
Al1 0.000 0.000 0.000 1
Hg1 0.250 0.250 0.250 1
Ce1 0.500 0.500 0.500 1
```

Output
formation energy	-0.18	eV/atom
N(E_F)	6.36	states/eV per cell
raw total energy	-3.511	eV per atom

=====

- Which value of formation energy does entry 2 give?
  -0.18 eV/atom